The following is a DFT calculation (GGA-PBE) of a geometry-optimized Ta2MnOs structure.

Calculated density, Mg/m³: 16.1
Space group: F-43m, No. 216
Energy of formation from the pure elements, meV/atom: -73
Distance to the lowest polymorph of the same formula, kJ/mol of formula units: 78
Total magnetic moment, μB per cell: 2.24

Structure (POSCAR):
```
Ta2MnOs
1.0
0.000 3.151 3.151
3.151 0.000 3.151
3.151 3.151 0.000
Ta Mn Os
2 1 1
direct
0.000 0.000 0.000
0.250 0.250 0.250
0.500 0.500 0.500
0.750 0.750 0.750
```